(1)
A plane-wave DFT calculation with GGA-PBE was carried out for a relaxed structure of CaZr2Sb.

Values from the calculation:
- formation energy without anion corrections (meV per atom) = -21
- uncorrected energy (eV for the cell shown) = -46.61

abc: 4.278 5.352 9.456
angles: 90.00 90.00 90.00
Space group Cmmm (No. 65)
One atom of each set of equivalent atoms:
1 Ca 0.000 0.000 0.000 [2 per cell]
2 Zr 0.000 0.500 0.298 [4 per cell]
3 Sb 0.000 0.000 0.500 [2 per cell]

(2)
A plane-wave DFT calculation with GGA-PBE was carried out for a relaxed structure of CaZr2Sb.

Values from the calculation:
- formation energy without anion corrections (meV per atom) = -190
- uncorrected energy (eV for the cell shown) = -23.98

abc: 3.342 3.342 9.403
angles: 90.00 90.00 90.00
Space group P4mm (No. 99)
One atom of each set of equivalent atoms:
1 Ca 0.000 0.000 0.000 [1 per cell]
2 Zr 0.000 0.000 0.477 [1 per cell]
3 Zr 0.500 0.500 0.700 [1 per cell]
4 Sb 0.500 0.500 0.253 [1 per cell]